No. 1
CuB2Mo | GGA-PBE | optimized geometry

Cell: 3.824 3.824 3.824 Å, 60.00 60.00 60.00°
Sites, in units of the cell vectors:
Mo (0.500, 0.500, 0.500)
B (0.250, 0.250, 0.250)
B (0.750, 0.750, 0.750)
Cu (0.000, 0.000, 0.000)

Summary:
Raw total energy in eV per atom: -6.521
Energy relative to the lowest polymorph listed for this composition in meV per atom: 56
ΔH_f (0 K) in eV/f.u.: 2.2
Space group: Fm-3m

=====

No. 2
Mn3NbAu | GGA-PBE | optimized geometry

Cell: 4.846 4.846 4.846 Å, 90.00 90.00 90.00°
Sites, in units of the cell vectors:
Mn (0.000, 0.500, 0.000)
Mn (0.000, 0.000, 0.500)
Mn (0.500, 0.000, 0.000)
Au (0.000, 0.000, 0.000)
Nb (0.500, 0.500, 0.500)

Summary:
Raw total energy in eV per atom: -6.915
Energy relative to the lowest polymorph listed for this composition in meV per atom: 0
ΔH_f (0 K) in eV/f.u.: 6.3
Space group: Pm-3m

=====

No. 3
Tb14ErMg | GGA-PBE | optimized geometry

Cell: 7.077 7.077 10.004 Å, 90.00 90.00 90.00°
Sites, in units of the cell vectors:
Tb (0.124, 0.374, 0.248)
Tb (0.124, 0.876, 0.752)
Tb (0.626, 0.876, 0.752)
Tb (0.875, 0.625, 0.000)
Tb (0.626, 0.374, 0.752)
Tb (0.375, 0.625, 0.500)
Tb (0.124, 0.374, 0.752)
Tb (0.375, 0.125, 0.500)
Tb (0.124, 0.876, 0.248)
Tb (0.626, 0.876, 0.248)
Tb (0.375, 0.125, 0.000)
Tb (0.875, 0.625, 0.500)
Tb (0.626, 0.374, 0.248)
Tb (0.875, 0.125, 0.500)
Er (0.875, 0.125, 0.000)
Mg (0.374, 0.626, 0.000)

Summary:
Raw total energy in eV per atom: -4.419
ΔH_f (0 K) in eV/f.u.: 0.3
Space group: Amm2

=====

No. 4
Y2PaTaC4 | GGA-PBE | optimized geometry

Cell: 6.956 6.956 7.012 Å, 120.27 120.27 90.04°
Sites, in units of the cell vectors:
Pa (0.000, 0.500, 0.500)
Pa (0.000, 0.500, 0.000)
Ta (0.500, 0.500, 0.500)
Ta (0.000, 0.000, 0.000)
C (0.782, 0.244, 0.013)
C (0.754, 0.746, 0.526)
C (0.246, 0.254, 0.026)
C (0.246, 0.254, 0.474)
C (0.218, 0.756, 0.987)
C (0.256, 0.718, 0.487)
C (0.744, 0.282, 0.513)
C (0.754, 0.746, 0.974)
Y (0.500, 0.000, 0.500)
Y (0.500, 0.500, 0.000)
Y (0.000, 0.000, 0.500)
Y (0.500, 0.000, 0.000)

Summary:
Raw total energy in eV per atom: -9.323
ΔH_f (0 K) in eV/f.u.: -3.4
Space group: Imma

=====

No. 5
TbPuOsPt | GGA-PBE | optimized geometry

Cell: 4.882 4.882 4.882 Å, 60.00 60.00 60.00°
Sites, in units of the cell vectors:
Tb (0.000, 0.000, 0.000)
Os (0.250, 0.250, 0.250)
Pu (0.500, 0.500, 0.500)
Pt (0.750, 0.750, 0.750)

Summary:
Raw total energy in eV per atom: -9.490
ΔH_f (0 K) in eV/f.u.: -1.7
Space group: F-43m

=====

No. 6
Mg3Si2Pt2 | GGA-PBE | optimized geometry

Cell: 3.218 4.217 9.107 Å, 103.39 100.17 90.00°
Sites, in units of the cell vectors:
Pt (0.635, 0.135, 0.269)
Pt (0.365, 0.865, 0.731)
Mg (0.000, 0.000, 0.000)
Mg (0.797, 0.297, 0.594)
Mg (0.203, 0.703, 0.406)
Si (0.431, 0.431, 0.862)
Si (0.569, 0.569, 0.138)

Summary:
Raw total energy in eV per atom: -4.516
Energy relative to the elements, uncorrected in eV/atom: -0.56
Space group: Immm

=====

No. 7
Ce3SmY2As6 | GGA-PBE | optimized geometry

Cell: 7.254 7.254 7.242 Å, 99.62 99.62 120.00°
Sites, in units of the cell vectors:
Ce (0.834, 0.166, 0.500)
Ce (0.166, 0.834, 0.500)
Ce (0.500, 0.500, 0.500)
As (0.581, 0.917, 0.751)
As (0.083, 0.419, 0.249)
As (0.254, 0.254, 0.752)
As (0.917, 0.581, 0.751)
As (0.746, 0.746, 0.248)
As (0.419, 0.083, 0.249)
Y (0.667, 0.333, 0.000)
Y (0.333, 0.667, 0.000)
Sm (0.000, 0.000, 0.000)

Summary:
Raw total energy in eV per atom: -6.768
ΔH_f (0 K) in eV/f.u.: -17.9
Space group: C2/m

=====

No. 8
Cs2VRu | GGA-PBE | optimized geometry

Cell: 13.752 13.752 9.986 Å, 46.49 46.49 90.00°
Sites, in units of the cell vectors:
Ru (0.750, 0.250, 0.500)
Ru (0.000, 0.000, 0.000)
V (0.250, 0.750, 0.500)
V (0.500, 0.500, 0.000)
Cs (0.941, 0.625, 0.250)
Cs (0.375, 0.191, 0.750)
Cs (0.809, 0.125, 0.250)
Cs (0.875, 0.059, 0.750)

Summary:
Raw total energy in eV per atom: -3.961
ΔH_f (0 K) in eV/f.u.: 4.3
Space group: I-42d

=====

No. 9
Zr2PN | GGA-PBE | optimized geometry

Cell: 4.388 4.388 4.388 Å, 60.00 60.00 60.00°
Sites, in units of the cell vectors:
N (0.000, 0.000, 0.000)
Zr (0.750, 0.750, 0.750)
Zr (0.250, 0.250, 0.250)
P (0.500, 0.500, 0.500)

Summary:
Raw total energy in eV per atom: -8.276
Energy relative to the elements, uncorrected in eV/atom: -0.57
Energy relative to the lowest polymorph listed for this composition in meV per atom: 825
Space group: Fm-3m

=====

No. 10
WAu3 | GGA-PBE | optimized geometry

Cell: 6.307 6.307 3.560 Å, 90.00 90.00 90.34°
Sites, in units of the cell vectors:
W (0.398, 0.602, 0.750)
W (0.602, 0.398, 0.250)
Au (0.126, 0.382, 0.250)
Au (0.618, 0.874, 0.250)
Au (0.870, 0.130, 0.750)
Au (0.130, 0.870, 0.250)
Au (0.382, 0.126, 0.750)
Au (0.874, 0.618, 0.750)

Summary:
Raw total energy in eV per atom: -5.453
ΔH_f (0 K) in eV/f.u.: 1.0
Space group: Cmcm

=====

No. 11
KSbAu | GGA-PBE | optimized geometry

Cell: 4.671 4.671 5.192 Å, 90.00 90.00 120.00°
Sites, in units of the cell vectors:
Sb (0.667, 0.333, 0.833)
Au (0.000, 0.000, 0.833)
K (0.333, 0.667, 0.333)

Summary:
Raw total energy in eV per atom: -3.230
Energy relative to the elements, uncorrected in eV/atom: -0.40
Energy relative to the lowest polymorph listed for this composition in meV per atom: 0
Space group: P-6m2

=====

No. 12
LaInSb2I | GGA-PBE | optimized geometry

Cell: 5.553 5.553 5.874 Å, 90.00 90.00 90.00°
Sites, in units of the cell vectors:
I (0.000, 0.000, 0.500)
Sb (0.000, 0.500, 0.000)
Sb (0.500, 0.000, 0.000)
La (0.500, 0.500, 0.500)
In (0.000, 0.000, 0.000)

Summary:
Raw total energy in eV per atom: -3.528
Energy relative to the elements, uncorrected in eV/atom: -0.04
Energy relative to the lowest polymorph listed for this composition in meV per atom: 0
Space group: P4/mmm

=====

No. 13
CsPd2Se2 | GGA-PBE | optimized geometry

Cell: 7.218 6.941 7.169 Å, 73.30 59.73 58.72°
Sites, in units of the cell vectors:
Se (0.556, 0.407, 0.221)
Se (0.444, 0.593, 0.779)
Se (0.817, 0.907, 0.721)
Se (0.183, 0.093, 0.279)
Pd (0.506, 0.786, 0.018)
Pd (0.306, 0.713, 0.485)
Pd (0.694, 0.287, 0.515)
Pd (0.494, 0.214, 0.982)
Cs (0.116, 0.249, 0.750)
Cs (0.884, 0.751, 0.250)

Summary:
Raw total energy in eV per atom: -4.175
Energy relative to the elements, uncorrected in eV/atom: -0.53
Energy relative to the lowest polymorph listed for this composition in meV per atom: 0
Space group: P-1

=====

No. 14
Ni2HgAs | GGA-PBE | optimized geometry

Cell: 4.418 4.418 3.052 Å, 90.00 90.00 90.00°
Sites, in units of the cell vectors:
Ni (0.500, 0.000, 0.000)
Ni (0.000, 0.500, 0.000)
As (0.500, 0.500, 0.500)
Hg (0.000, 0.000, 0.500)

Summary:
Raw total energy in eV per atom: -3.955
ΔH_f (0 K) in eV/f.u.: 0.7
Space group: P4/mmm

=====

No. 15
TbNbI2 | GGA-PBE | optimized geometry

Cell: 3.598 3.598 10.365 Å, 80.01 80.01 60.00°
Sites, in units of the cell vectors:
Tb (0.500, 0.500, 0.500)
I (0.091, 0.091, 0.726)
I (0.909, 0.909, 0.274)
Nb (0.000, 0.000, 0.000)

Summary:
Raw total energy in eV per atom: -4.360
Energy relative to the elements, uncorrected in eV/atom: 0.09
Space group: R-3m

=====

No. 16
P2Au | GGA-PBE | optimized geometry

Cell: 3.443 3.443 4.839 Å, 90.00 90.00 120.00°
Sites, in units of the cell vectors:
P (0.667, 0.333, 0.365)
P (0.333, 0.667, 0.635)
Au (0.000, 0.000, 0.000)

Summary:
Raw total energy in eV per atom: -4.558
ΔH_f (0 K) in eV/f.u.: 0.4
Space group: P-3m1

=====

No. 17
HgAsBr2 | GGA-PBE | optimized geometry

Cell: 8.653 8.653 8.653 Å, 26.39 26.39 26.39°
Sites, in units of the cell vectors:
Br (0.020, 0.020, 0.020)
Br (0.229, 0.229, 0.229)
Hg (0.491, 0.491, 0.491)
As (0.759, 0.759, 0.759)

Summary:
Raw total energy in eV per atom: -2.011
Energy relative to the elements, uncorrected in eV/atom: 0.06
Energy relative to the lowest polymorph listed for this composition in meV per atom: 189
Space group: R3m

=====

No. 18
VCo2Sn | GGA-PBE | optimized geometry

Cell: 3.902 3.902 8.582 Å, 76.86 76.86 90.00°
Sites, in units of the cell vectors:
Sn (0.750, 0.250, 0.500)
Sn (0.000, 0.000, 0.000)
Co (0.171, 0.625, 0.250)
Co (0.579, 0.125, 0.250)
Co (0.875, 0.829, 0.750)
Co (0.375, 0.421, 0.750)
V (0.250, 0.750, 0.500)
V (0.500, 0.500, 0.000)

Summary:
Raw total energy in eV per atom: -6.356
ΔH_f (0 K) in eV/f.u.: 1.9
Space group: I-42d

=====

No. 19
PmPaFe10 | GGA-PBE | optimized geometry

Cell: 4.009 5.004 8.650 Å, 90.00 90.00 90.00°
Sites, in units of the cell vectors:
Fe (0.500, 0.252, 0.253)
Fe (0.500, 0.748, 0.253)
Fe (0.000, 0.000, 0.661)
Fe (0.000, 0.000, 0.339)
Fe (0.500, 0.252, 0.747)
Fe (0.000, 0.500, 0.826)
Fe (0.500, 0.000, 0.500)
Fe (0.500, 0.748, 0.747)
Fe (0.000, 0.500, 0.174)
Fe (0.500, 0.500, 0.000)
Pm (0.000, 0.000, 0.000)
Pa (0.000, 0.500, 0.500)

Summary:
Raw total energy in eV per atom: -8.265
ΔH_f (0 K) in eV/f.u.: -0.3
Space group: Pmmm

=====

No. 20
AcLaAgIr | GGA-PBE | optimized geometry

Cell: 4.423 4.423 7.243 Å, 90.00 90.00 60.00°
Sites, in units of the cell vectors:
Ac (0.535, 0.535, 0.602)
Ir (0.868, 0.868, 0.829)
Ag (0.868, 0.868, 0.295)
La (0.201, 0.201, 0.023)

Summary:
Raw total energy in eV per atom: -5.670
Energy relative to the lowest polymorph listed for this composition in meV per atom: 0
ΔH_f (0 K) in eV/f.u.: -1.9
Space group: P3m1

=====

No. 21
CrTcTe | GGA-PBE | optimized geometry

Cell: 4.293 4.293 4.293 Å, 60.00 60.00 60.00°
Sites, in units of the cell vectors:
Tc (0.750, 0.750, 0.750)
Cr (0.500, 0.500, 0.500)
Te (0.000, 0.000, 0.000)

Summary:
Raw total energy in eV per atom: -7.442
Energy relative to the elements, uncorrected in eV/atom: 0.27
Energy relative to the lowest polymorph listed for this composition in meV per atom: 280
Space group: F-43m

=====

No. 22
AlPbAu3 | GGA-PBE | optimized geometry

Cell: 5.384 6.840 6.766 Å, 59.45 94.96 90.29°
Sites, in units of the cell vectors:
Au (0.845, 0.362, 0.502)
Au (0.847, 0.562, 0.001)
Au (0.845, 0.862, 0.502)
Au (0.187, 0.972, 0.787)
Au (0.843, 0.162, 0.003)
Au (0.502, 0.752, 0.216)
Pb (0.359, 0.504, 0.707)
Pb (0.330, 0.220, 0.296)
Al (0.652, 0.971, 0.781)
Al (0.038, 0.753, 0.222)

Summary:
Raw total energy in eV per atom: -3.627
Energy relative to the lowest polymorph listed for this composition in meV per atom: 34
ΔH_f (0 K) in eV/f.u.: -0.9
Space group: P-1

=====

No. 23
CdSn2Pb8 | GGA-PBE | optimized geometry

Cell: 5.808 8.440 8.440 Å, 63.53 79.08 79.08°
Sites, in units of the cell vectors:
Sn (0.489, 0.115, 0.115)
Sn (0.511, 0.885, 0.885)
Pb (0.212, 0.775, 0.368)
Pb (0.927, 0.228, 0.228)
Pb (0.343, 0.362, 0.362)
Pb (0.073, 0.772, 0.772)
Pb (0.788, 0.225, 0.632)
Pb (0.788, 0.632, 0.225)
Pb (0.212, 0.368, 0.775)
Pb (0.657, 0.638, 0.638)
Cd (0.000, 0.000, 0.000)

Summary:
Raw total energy in eV per atom: -3.394
Energy relative to the lowest polymorph listed for this composition in meV per atom: 62
ΔH_f (0 K) in eV/f.u.: 1.3
Space group: C2/m

=====

No. 24
La3BiIr | GGA-PBE | optimized geometry

Cell: 4.372 8.936 8.613 Å, 93.81 104.70 90.00°
Sites, in units of the cell vectors:
La (0.795, 0.768, 0.189)
La (0.930, 0.455, 0.459)
La (0.565, 0.702, 0.727)
La (0.429, 0.015, 0.458)
La (0.131, 0.055, 0.862)
La (0.228, 0.415, 0.054)
Bi (0.791, 0.154, 0.182)
Bi (0.568, 0.316, 0.735)
Ir (0.987, 0.833, 0.573)
Ir (0.372, 0.637, 0.344)

Summary:
Raw total energy in eV per atom: -6.254
Energy relative to the lowest polymorph listed for this composition in meV per atom: 80
ΔH_f (0 K) in eV/f.u.: -3.7
Space group: C2/m

=====

No. 25
ZnCd2As | GGA-PBE | optimized geometry

Cell: 4.466 4.466 4.106 Å, 90.00 90.00 90.00°
Sites, in units of the cell vectors:
As (0.000, 0.500, 0.500)
Cd (0.500, 0.500, 0.000)
Cd (0.000, 0.000, 0.000)
Zn (0.500, 0.000, 0.500)

Summary:
Raw total energy in eV per atom: -1.801
Energy relative to the lowest polymorph listed for this composition in meV per atom: 54
ΔH_f (0 K) in eV/f.u.: 0.5
Space group: P4/mmm